Entry 1:
EuSn2Sb: relaxed, PBE.

The value obtained for the uncorrected formation energy is -245 meV/atom. For the energy above the most stable polymorph in this dataset, the calculation gives 0.242 eV/atom. Its crystal system is trigonal. As for the energy: -5.846 eV per atom.

The space group is R-3m (No. 166, hexagonal axes) and the conventional cell measures 5.2381, 5.2381 and 15.5395 Å, with angles of 90.00, 90.00 and 120.00 degrees. Symmetry generates all atoms from Eu at (0.0000, 0.0000, 0.0000), Sn at (0.0000, 0.0000, 0.2201) and Sb at (0.0000, 0.0000, 0.5000).

=====

Entry 2:
Sr2EuSb: relaxed, PBE.

The value obtained for the uncorrected formation energy is -477 meV/atom. For the energy above the most stable polymorph in this dataset, the calculation gives 0.005 eV/atom. Its crystal system is tetragonal. As for the energy: -4.917 eV per atom.

The space group is P4/mmm (No. 123) and the conventional cell measures 4.488, 4.488 and 7.601 Å, with angles of 90.00, 90.00 and 90.00 degrees. Symmetry generates all atoms from Sr at (0.000, 0.000, 0.215), Eu at (0.500, 0.500, 0.500) and Sb at (0.500, 0.500, 0.000).

=====

Entry 3:
Sr2EuSb: relaxed, PBE.

The value obtained for the uncorrected formation energy is -482 meV/atom. For the energy above the most stable polymorph in this dataset, the calculation gives 0.000 eV/atom. Its crystal system is tetragonal. As for the energy: -4.922 eV per atom.

The space group is P4/mmm (No. 123) and the conventional cell measures 5.287, 5.287 and 5.244 Å, with angles of 90.00, 90.00 and 90.00 degrees. Symmetry generates all atoms from Sr at (0.000, 0.500, 0.000), Eu at (0.000, 0.000, 0.500) and Sb at (0.500, 0.500, 0.500).

=====

Entry 4:
SrEuSb: relaxed, PBE.

The value obtained for the uncorrected formation energy is -635 meV/atom. For the energy above the most stable polymorph in this dataset, the calculation gives 0.161 eV/atom. Its crystal system is trigonal. As for the energy: -5.995 eV per atom.

The space group is P3m1 (No. 156) and the conventional cell measures 5.2554, 5.2554 and 4.9467 Å, with angles of 90.00, 90.00 and 120.00 degrees. Symmetry generates all atoms from Sr at (0.0000, 0.0000, 0.0000), Eu at (0.6667, 0.3333, 0.5085) and Sb at (0.3333, 0.6667, 0.3351).

=====

Entry 5:
SrEuSb: relaxed, PBE.

The value obtained for the uncorrected formation energy is -643 meV/atom. For the energy above the most stable polymorph in this dataset, the calculation gives 0.153 eV/atom. Its crystal system is tetragonal. As for the energy: -6.003 eV per atom.

The space group is I4mm (No. 107) and the conventional cell measures 4.358, 4.358 and 10.741 Å, with angles of 90.00, 90.00 and 90.00 degrees. Symmetry generates all atoms from Sr at (0.000, 0.000, 0.000), Eu at (0.000, 0.000, 0.703) and Sb at (0.000, 0.000, 0.344).

=====

Entry 6:
Sr2EuSb: relaxed, PBE.

The value obtained for the uncorrected formation energy is -279 meV/atom. For the energy above the most stable polymorph in this dataset, the calculation gives 0.203 eV/atom. Its crystal system is cubic. As for the energy: -4.719 eV per atom.

The space group is Fm-3m (No. 225) and the conventional cell measures 8.440, 8.440 and 8.440 Å, with angles of 90.00, 90.00 and 90.00 degrees. Symmetry generates all atoms from Sr at (0.250, 0.250, 0.250), Eu at (0.000, 0.000, 0.000) and Sb at (0.000, 0.000, 0.500).

=====

Entry 7:
SrEuSb: relaxed, PBE.

The value obtained for the uncorrected formation energy is -796 meV/atom. For the energy above the most stable polymorph in this dataset, the calculation gives 0.000 eV/atom. Its crystal system is cubic. As for the energy: -6.156 eV per atom.

The space group is F-43m (No. 216) and the conventional cell measures 7.776, 7.776 and 7.776 Å, with angles of 90.00, 90.00 and 90.00 degrees. Symmetry generates all atoms from Sr at (0.000, 0.000, 0.000), Eu at (0.000, 0.000, 0.500) and Sb at (0.250, 0.250, 0.250).

=====

Entry 8:
EuTaSb2: relaxed, PBE.

The value obtained for the uncorrected formation energy is 17 meV/atom. Its crystal system is trigonal. As for the energy: -7.576 eV per atom.

The space group is R-3m (No. 166, hexagonal axes) and the conventional cell measures 3.5475, 3.5475 and 31.5938 Å, with angles of 90.00, 90.00 and 120.00 degrees. Symmetry generates all atoms from Eu at (0.0000, 0.0000, 0.0000), Ta at (0.0000, 0.0000, 0.5000) and Sb at (0.0000, 0.0000, 0.1040).

=====

Entry 9:
TbEuSb2: relaxed, PBE.

The value obtained for the uncorrected formation energy is -1012 meV/atom. For the energy above the most stable polymorph in this dataset, the calculation gives 0.000 eV/atom. Its crystal system is trigonal. As for the energy: -6.799 eV per atom.

The space group is R-3m (No. 166, hexagonal axes) and the conventional cell measures 4.4618, 4.4618 and 22.3362 Å, with angles of 90.00, 90.00 and 120.00 degrees. Symmetry generates all atoms from Tb at (0.0000, 0.0000, 0.0000), Eu at (0.0000, 0.0000, 0.5000) and Sb at (0.0000, 0.0000, 0.2541).

=====

Entry 10:
TbEuSb2: relaxed, PBE.

The value obtained for the uncorrected formation energy is -858 meV/atom. For the energy above the most stable polymorph in this dataset, the calculation gives 0.154 eV/atom. Its crystal system is tetragonal. As for the energy: -6.645 eV per atom.

The space group is P4/mmm (No. 123) and the conventional cell measures 5.797, 5.797 and 3.392 Å, with angles of 90.00, 90.00 and 90.00 degrees. Symmetry generates all atoms from Tb at (0.000, 0.000, 0.000), Eu at (0.500, 0.500, 0.000) and Sb at (0.000, 0.500, 0.500).

=====

Entry 11:
EuTcSb2: relaxed, PBE.

The value obtained for the uncorrected formation energy is -276 meV/atom. Its crystal system is tetragonal. As for the energy: -7.497 eV per atom.

The space group is P4/mmm (No. 123) and the conventional cell measures 3.353, 3.353 and 8.007 Å, with angles of 90.00, 90.00 and 90.00 degrees. Symmetry generates all atoms from Eu at (0.000, 0.000, 0.000), Tc at (0.000, 0.000, 0.500) and Sb at (0.500, 0.500, 0.299).

=====

Entry 12:
Eu2SbTe: relaxed, PBE.

The value obtained for the uncorrected formation energy is -1281 meV/atom. For the energy above the most stable polymorph in this dataset, the calculation gives 0.000 eV/atom. Its crystal system is trigonal. As for the energy: -8.234 eV per atom.

The space group is R-3m (No. 166, hexagonal axes) and the conventional cell measures 4.5618, 4.5618 and 22.9549 Å, with angles of 90.00, 90.00 and 120.00 degrees. Symmetry generates all atoms from Eu at (0.0000, 0.0000, 0.2489), Sb at (0.0000, 0.0000, 0.5000) and Te at (0.0000, 0.0000, 0.0000).

=====

Entry 13:
Eu2SbTe: relaxed, PBE.

The value obtained for the uncorrected formation energy is -1151 meV/atom. For the energy above the most stable polymorph in this dataset, the calculation gives 0.130 eV/atom. Its crystal system is tetragonal. As for the energy: -8.104 eV per atom.

The space group is P4/mmm (No. 123) and the conventional cell measures 3.911, 3.911 and 8.161 Å, with angles of 90.00, 90.00 and 90.00 degrees. Symmetry generates all atoms from Eu at (0.000, 0.000, 0.247), Sb at (0.500, 0.500, 0.500) and Te at (0.500, 0.500, 0.000).

=====

Entry 14:
EuTiSb2: relaxed, PBE.

The value obtained for the uncorrected formation energy is -510 meV/atom. For the energy above the most stable polymorph in this dataset, the calculation gives 0.174 eV/atom. Its crystal system is tetragonal. As for the energy: -7.113 eV per atom.

The space group is P4/mmm (No. 123) and the conventional cell measures 3.533, 3.533 and 7.943 Å, with angles of 90.00, 90.00 and 90.00 degrees. Symmetry generates all atoms from Eu at (0.000, 0.000, 0.000), Ti at (0.000, 0.000, 0.500) and Sb at (0.500, 0.500, 0.291).

=====

Entry 15:
EuTiSb2: relaxed, PBE.

The value obtained for the uncorrected formation energy is -683 meV/atom. For the energy above the most stable polymorph in this dataset, the calculation gives 0.000 eV/atom. Its crystal system is trigonal. As for the energy: -7.287 eV per atom.

The space group is R-3m (No. 166, hexagonal axes) and the conventional cell measures 4.1598, 4.1598 and 21.7579 Å, with angles of 90.00, 90.00 and 120.00 degrees. Symmetry generates all atoms from Eu at (0.0000, 0.0000, 0.0000), Ti at (0.0000, 0.0000, 0.5000) and Sb at (0.0000, 0.0000, 0.2361).

=====

Entry 16:
EuTlSb: relaxed, PBE.

The value obtained for the uncorrected formation energy is -547 meV/atom. For the energy above the most stable polymorph in this dataset, the calculation gives 0.000 eV/atom. Its crystal system is trigonal. As for the energy: -6.135 eV per atom.

The space group is P3m1 (No. 156) and the conventional cell measures 4.8067, 4.8067 and 4.9387 Å, with angles of 90.00, 90.00 and 120.00 degrees. Symmetry generates all atoms from Eu at (0.0000, 0.0000, 0.0000), Tl at (0.3333, 0.6667, 0.6280) and Sb at (0.6667, 0.3333, 0.3450).

=====

Entry 17:
EuTlSb: relaxed, PBE.

The value obtained for the uncorrected formation energy is -471 meV/atom. For the energy above the most stable polymorph in this dataset, the calculation gives 0.076 eV/atom. Its crystal system is tetragonal. As for the energy: -6.059 eV per atom.

The space group is I4mm (No. 107) and the conventional cell measures 4.484, 4.484 and 9.543 Å, with angles of 90.00, 90.00 and 90.00 degrees. Symmetry generates all atoms from Eu at (0.000, 0.000, 0.000), Tl at (0.000, 0.000, 0.674) and Sb at (0.000, 0.000, 0.350).

=====

Entry 18:
EuTlSb2: relaxed, PBE.

The value obtained for the uncorrected formation energy is -306 meV/atom. For the energy above the most stable polymorph in this dataset, the calculation gives 0.191 eV/atom. Its crystal system is cubic. As for the energy: -5.527 eV per atom.

The space group is Fm-3m (No. 225) and the conventional cell measures 7.876, 7.876 and 7.876 Å, with angles of 90.00, 90.00 and 90.00 degrees. Symmetry generates all atoms from Eu at (0.000, 0.000, 0.000), Tl at (0.000, 0.000, 0.500) and Sb at (0.250, 0.250, 0.250).

=====

Entry 19:
EuTlSb: relaxed, PBE.

The value obtained for the uncorrected formation energy is -439 meV/atom. For the energy above the most stable polymorph in this dataset, the calculation gives 0.108 eV/atom. Its crystal system is cubic. As for the energy: -6.026 eV per atom.

The space group is F-43m (No. 216) and the conventional cell measures 7.732, 7.732 and 7.732 Å, with angles of 90.00, 90.00 and 90.00 degrees. Symmetry generates all atoms from Eu at (0.000, 0.000, 0.000), Tl at (0.000, 0.000, 0.500) and Sb at (0.250, 0.250, 0.750).

=====

Entry 20:
EuTl2Sb: relaxed, PBE.

The value obtained for the uncorrected formation energy is -459 meV/atom. For the energy above the most stable polymorph in this dataset, the calculation gives 0.000 eV/atom. Its crystal system is tetragonal. As for the energy: -5.241 eV per atom.

The space group is P4/mmm (No. 123) and the conventional cell measures 4.768, 4.768 and 5.224 Å, with angles of 90.00, 90.00 and 90.00 degrees. Symmetry generates all atoms from Eu at (0.000, 0.000, 0.000), Tl at (0.000, 0.500, 0.500) and Sb at (0.500, 0.500, 0.000).